Entry 1:
Compound: ScPaGe
Source: Alexandria
Functional: PBE
Structure: relaxed

```
3
Lattice="-2.4403 -1.2054 -1.8935 -1.9158 -2.1694 3.8502 -1.3272 4.4862 -1.1455" Properties=species:S:1:pos:R:3 pbc="T T T"
Pa -2.4280 -1.1994 -1.8839
Ge -2.7707 1.6516 -0.4481
Sc -2.9249 -0.5462 1.2497
```

Properties
Relative energy among the computed polymorphs ... 39.8 kJ/mol of atoms
Formation enthalpy at 0 K ... -0.15 eV/atom
SG ... P3m1, No. 156
Calculated volume ... 22.2 A^3/atom
E_tot ... -6.964 eV per atom

Entry 2:
Compound: ScPa2Ge
Source: Alexandria
Functional: PBE
Structure: relaxed

```
4
Lattice="3.1426 0.0000 0.0000 1.5713 2.7216 0.0000 1.5713 0.9072 11.4166" Properties=species:S:1:pos:R:3 pbc="T T T"
Ge 0.0000 0.0000 0.0000
Pa 1.5713 0.9072 8.4839
Pa 4.7139 2.7216 2.9327
Sc 3.1426 1.8144 5.7083
```

Properties
Relative energy among the computed polymorphs ... 53.1 kJ/mol of atoms
Formation enthalpy at 0 K ... 0.25 eV/atom
SG ... R-3m, No. 166
Calculated volume ... 24.4 A^3/atom
E_tot ... -7.237 eV per atom

Entry 3:
Compound: ScPa3Ge5
Source: Alexandria
Functional: PBE
Structure: relaxed

```
18
Lattice="5.8663 0.0000 0.0000 0.0000 7.4856 -4.3218 0.0000 0.0000 8.6436" Properties=species:S:1:pos:R:3 pbc="T T T"
Pa 1.4666 2.8731 1.6588
Ge 0.0000 4.9904 0.0000
Pa 1.4666 4.6125 -2.6630
Ge 4.3997 2.0254 1.1694
Ge 2.9331 2.4952 4.3218
Ge 4.3997 0.0000 6.3049
Ge 4.3997 5.4602 -3.1525
Ge 1.4666 0.0000 2.3387
Ge 1.4666 5.4602 3.1525
Ge 2.9331 4.9904 0.0000
Pa 4.3997 0.0000 3.3175
Pa 4.3997 2.8731 -1.6588
Pa 4.3997 4.6125 2.6630
Ge 0.0000 2.4952 4.3218
Sc 0.0000 0.0000 0.0000
Ge 1.4666 2.0254 -1.1694
Sc 2.9331 0.0000 0.0000
Pa 1.4666 0.0000 5.3261
```

Properties
Formation enthalpy at 0 K ... -0.62 eV/atom
SG ... P6_3/mcm, No. 193
Calculated volume ... 21.1 A^3/atom
E_tot ... -7.053 eV per atom

Entry 4:
Compound: ScPa2Ge
Source: Alexandria
Functional: PBE
Structure: relaxed

```
4
Lattice="4.8126 0.0000 0.0000 0.0000 4.2558 0.0000 0.0000 0.0000 4.2558" Properties=species:S:1:pos:R:3 pbc="T T T"
Pa 0.0000 0.0000 2.1279
Ge 2.4063 0.0000 0.0000
Pa 0.0000 2.1279 0.0000
Sc 2.4063 2.1279 2.1279
```

Properties
Relative energy among the computed polymorphs ... 0.0 kJ/mol of atoms
Formation enthalpy at 0 K ... -0.30 eV/atom
SG ... P4/mmm, No. 123
Calculated volume ... 21.8 A^3/atom
E_tot ... -7.787 eV per atom

Entry 5:
Compound: ScPaGe
Source: Alexandria
Functional: PBE
Structure: relaxed

```
6
Lattice="-0.0382 -2.1078 -3.5132 3.7900 -1.3528 0.7704 -4.8644 -4.4963 5.1398" Properties=species:S:1:pos:R:3 pbc="T T T"
Ge -2.1180 -4.4129 2.6707
Sc -1.0490 -2.1856 1.3227
Sc -0.0636 -5.7713 1.0742
Pa -0.0191 -1.0539 -1.7566
Ge 1.0054 -3.5440 -0.2738
Pa 1.8950 -0.6764 0.3852
```

Properties
Relative energy among the computed polymorphs ... 0.0 kJ/mol of atoms
Formation enthalpy at 0 K ... -0.56 eV/atom
SG ... I4/mmm, No. 139
Calculated volume ... 22.0 A^3/atom
E_tot ... -7.377 eV per atom

Entry 6:
Compound: ScPaGe
Source: Alexandria
Functional: PBE
Structure: relaxed

```
12
Lattice="3.6468 0.0000 0.0000 0.0000 7.1124 0.0000 0.0000 0.0000 10.8268" Properties=species:S:1:pos:R:3 pbc="T T T"
Pa 2.7351 0.9090 2.8085
Sc 0.9117 1.2336 10.6206
Pa 0.9117 4.4652 2.6049
Sc 2.7351 4.7898 5.6196
Ge 0.9117 4.0703 10.0462
Pa 0.9117 6.2034 8.0183
Pa 2.7351 2.6472 8.2219
Ge 2.7351 3.0421 0.7806
Ge 0.9117 6.5984 4.6328
Sc 2.7351 5.8788 0.2062
Ge 2.7351 0.5141 6.1940
Sc 0.9117 2.3226 5.2072
```

Properties
Relative energy among the computed polymorphs ... 41.1 kJ/mol of atoms
Formation enthalpy at 0 K ... -0.14 eV/atom
SG ... Pnma, No. 62
Calculated volume ... 23.4 A^3/atom
E_tot ... -6.951 eV per atom

Entry 7:
Compound: ScPaZnGe
Source: Alexandria
Functional: PBE
Structure: relaxed

```
4
Lattice="4.8877 0.0000 0.0000 2.4439 4.2329 0.0000 2.4439 1.4110 3.9908" Properties=species:S:1:pos:R:3 pbc="T T T"
Pa 0.0000 0.0000 0.0000
Sc 4.8877 2.8219 1.9954
Zn 7.3316 4.2329 2.9931
Ge 2.4439 1.4110 0.9977
```

Properties
Formation enthalpy at 0 K ... -0.27 eV/atom
SG ... F-43m, No. 216
Calculated volume ... 20.6 A^3/atom
E_tot ... -5.704 eV per atom

Entry 8:
Compound: Pa5GeSe5
Source: Alexandria
Functional: PBE
Structure: relaxed

```
11
Lattice="-2.0207 2.9046 4.5064 0.5006 -6.9291 1.0484 7.3309 3.0573 1.3166" Properties=species:S:1:pos:R:3 pbc="T T T"
Se 4.8146 2.2124 4.3752
Se 0.9963 -3.1795 2.4961
Pa 3.5367 -0.1672 5.3359
Se 3.6655 1.5287 0.6583
Pa -1.0103 1.4523 2.2532
Pa -0.1409 -1.6647 4.6521
Ge 0.0000 0.0000 0.0000
Pa 2.2742 -0.8000 1.5354
Se 1.3300 0.7575 3.7505
Pa 5.9517 0.6975 2.2192
Se 4.4808 -1.7247 3.1208
```

Properties
SG ... C2/m, No. 12
Calculated volume ... 25.6 A^3/atom
E_tot ... -7.472 eV per atom
Uncorrected formation energy ... -1.15 eV/atom

Q: The lowest calculated volume belongs to which entry?
A: ScPaZnGe